# 1
{"formula": "Zr2ScNi", "functional": "GGA-PBE", "state": "optimized geometry", "polymorph_energy_ev_per_atom": 0.320, "delta_e_f_ev_per_atom": 0.078, "m_tot_mub_per_fu": 0.000, "rho_g_cm3": 6.17, "e_tot_ev_per_atom": -7.22, "sg": "No. 225", "lattice": [[0.000, 3.377, 3.377], [3.377, 0.000, 3.377], [3.377, 3.377, 0.000]], "species": ["Zr", "Zr", "Sc", "Ni"], "frac_coords": [[0.250, 0.250, 0.250], [0.750, 0.750, 0.750], [0.000, 0.000, 0.000], [0.500, 0.500, 0.500]]}

---

# 2
{"formula": "HgAu3F", "functional": "GGA-PBE", "state": "optimized geometry", "formation_energy_uncorrected_ev_per_atom": 0.662, "polymorph_energy_ev_per_atom": 0.411, "m_tot_mub_per_fu": 0.000, "rho_g_cm3": 9.24, "e_tot_ev_per_atom": -1.74, "sg": "No. 221", "lattice": [[5.262, 0.000, 0.000], [0.000, 5.262, 0.000], [0.000, 0.000, 5.262]], "species": ["Hg", "Au", "Au", "Au", "F"], "frac_coords": [[0.000, 0.000, 0.000], [0.000, 0.000, 0.500], [0.000, 0.500, 0.000], [0.500, 0.000, 0.000], [0.500, 0.500, 0.500]]}

---

# 3
{"formula": "AlCd2P", "functional": "GGA-PBE", "state": "optimized geometry", "polymorph_energy_ev_per_atom": 0.236, "delta_e_f_ev_per_atom": 0.194, "m_tot_mub_per_fu": 0.000, "rho_g_cm3": 5.17, "e_tot_ev_per_atom": -2.55, "sg": "No. 122", "lattice": [[-4.286, 4.286, 2.474], [4.286, -4.286, 2.474], [4.286, 4.286, -2.474]], "species": ["Al", "Al", "Cd", "Cd", "Cd", "Cd", "P", "P"], "frac_coords": [[0.000, 0.000, 0.000], [0.750, 0.250, 0.500], [0.200, 0.625, 0.075], [0.375, 0.450, 0.575], [0.550, 0.125, 0.925], [0.875, 0.800, 0.425], [0.250, 0.750, 0.500], [0.500, 0.500, 0.000]]}

---

# 4
{"formula": "Cr2TcHAu", "functional": "GGA-PBE", "state": "optimized geometry", "m_tot_mub_per_fu": 1.229, "rho_g_cm3": 11.54, "e_tot_ev_per_atom": -7.06, "sg": "No. 123", "lattice": [[3.880, 0.000, 0.000], [0.000, 3.880, 0.000], [0.000, 0.000, 3.822]], "species": ["Cr", "Cr", "Tc", "H", "Au"], "frac_coords": [[0.000, 0.500, 0.000], [0.500, 0.000, 0.000], [0.000, 0.000, 0.500], [0.000, 0.000, 0.000], [0.500, 0.500, 0.500]]}

---

# 5
{"formula": "ThMgTe3", "functional": "GGA-PBE", "state": "optimized geometry", "formation_energy_uncorrected_ev_per_atom": -0.982, "polymorph_energy_ev_per_atom": 0.000, "m_tot_mub_per_fu": 0.000, "rho_g_cm3": 5.99, "e_tot_ev_per_atom": -4.67, "sg": "No. 148", "lattice": [[3.855, 2.226, 6.878], [-3.855, 2.226, 6.878], [0.000, -4.451, 6.878]], "species": ["Th", "Th", "Mg", "Mg", "Te", "Te", "Te", "Te", "Te", "Te"], "frac_coords": [[0.159, 0.159, 0.159], [0.841, 0.841, 0.841], [0.343, 0.343, 0.343], [0.657, 0.657, 0.657], [0.065, 0.433, 0.740], [0.260, 0.935, 0.567], [0.433, 0.740, 0.065], [0.567, 0.260, 0.935], [0.740, 0.065, 0.433], [0.935, 0.567, 0.260]]}

---

# 6
{"formula": "Tb6Ga19Pt3", "functional": "GGA-PBE", "state": "optimized geometry", "delta_e_f_ev_per_atom": -0.630, "m_tot_mub_per_fu": 0.000, "rho_g_cm3": 8.97, "e_tot_ev_per_atom": -4.32, "sg": "No. 8", "lattice": [[7.950, -2.109, 0.000], [7.950, 2.109, 0.000], [-3.093, 0.000, 15.813]], "species": ["Tb", "Tb", "Tb", "Tb", "Tb", "Tb", "Ga", "Ga", "Ga", "Ga", "Ga", "Ga", "Ga", "Ga", "Ga", "Ga", "Ga", "Ga", "Ga", "Ga", "Ga", "Ga", "Ga", "Ga", "Ga", "Pt", "Pt", "Pt"], "frac_coords": [[0.000, 0.000, 0.000], [0.166, 0.166, 0.841], [0.323, 0.323, 0.675], [0.501, 0.501, 0.500], [0.662, 0.662, 0.341], [0.820, 0.820, 0.178], [0.016, 0.016, 0.359], [0.084, 0.084, 0.633], [0.140, 0.140, 0.485], [0.180, 0.180, 0.199], [0.227, 0.227, 0.049], [0.307, 0.307, 0.319], [0.368, 0.368, 0.904], [0.417, 0.417, 0.094], [0.456, 0.456, 0.269], [0.518, 0.518, 0.859], [0.592, 0.592, 0.136], [0.640, 0.640, 0.985], [0.683, 0.683, 0.689], [0.732, 0.732, 0.541], [0.806, 0.806, 0.981], [0.808, 0.808, 0.814], [0.866, 0.866, 0.410], [0.905, 0.905, 0.582], [0.957, 0.957, 0.758], [0.018, 0.018, 0.197], [0.301, 0.301, 0.478], [0.527, 0.527, 0.704]]}

---

# 7
{"formula": "CrIr", "functional": "GGA-PBE", "state": "optimized geometry", "delta_e_f_ev_per_atom": -0.049, "m_tot_mub_per_fu": 0.209, "rho_g_cm3": 15.26, "e_tot_ev_per_atom": -9.29, "sg": "No. 166", "lattice": [[1.331, 0.769, 4.328], [-1.331, 0.769, 4.328], [0.000, -1.537, 4.328]], "species": ["Cr", "Ir"], "frac_coords": [[0.000, 0.000, 0.000], [0.500, 0.500, 0.500]]}

---

# 8
{"formula": "NaAcCu2Cl8", "functional": "GGA-PBE", "state": "optimized geometry", "formation_energy_uncorrected_ev_per_atom": -1.295, "m_tot_mub_per_fu": 2.097, "rho_g_cm3": 3.58, "e_tot_ev_per_atom": -3.66, "sg": "No. 82", "lattice": [[-3.322, 3.322, 6.942], [3.322, -3.322, 6.942], [3.322, 3.322, -6.942]], "species": ["Na", "Ac", "Cu", "Cu", "Cl", "Cl", "Cl", "Cl", "Cl", "Cl", "Cl", "Cl"], "frac_coords": [[0.000, 0.000, 0.000], [0.750, 0.250, 0.500], [0.250, 0.750, 0.500], [0.500, 0.500, 0.000], [0.030, 0.952, 0.620], [0.048, 0.668, 0.079], [0.158, 0.280, 0.577], [0.332, 0.411, 0.380], [0.419, 0.842, 0.122], [0.589, 0.970, 0.921], [0.704, 0.581, 0.423], [0.720, 0.296, 0.878]]}

---

# 9
{"formula": "LiCa3Ru", "functional": "GGA-PBE", "state": "optimized geometry", "polymorph_energy_ev_per_atom": 0.000, "delta_e_f_ev_per_atom": 0.179, "m_tot_mub_per_fu": 0.000, "rho_g_cm3": 2.26, "e_tot_ev_per_atom": -3.26, "sg": "No. 221", "lattice": [[5.517, 0.000, 0.000], [0.000, 5.517, 0.000], [0.000, 0.000, 5.517]], "species": ["Li", "Ca", "Ca", "Ca", "Ru"], "frac_coords": [[0.000, 0.000, 0.000], [0.000, 0.500, 0.500], [0.500, 0.000, 0.500], [0.500, 0.500, 0.000], [0.500, 0.500, 0.500]]}

---

# 10
{"formula": "TaRuN", "functional": "GGA-PBE", "state": "optimized geometry", "formation_energy_uncorrected_ev_per_atom": -0.350, "polymorph_energy_ev_per_atom": 0.189, "m_tot_mub_per_fu": 0.000, "rho_g_cm3": 12.76, "e_tot_ev_per_atom": -10.17, "sg": "No. 1", "lattice": [[2.948, 0.000, 0.000], [0.183, 4.963, 0.000], [0.231, 0.305, 5.267]], "species": ["Ta", "Ta", "Ru", "Ru", "N", "N"], "frac_coords": [[0.000, 0.000, 0.000], [0.004, 0.482, 0.366], [0.384, 0.956, 0.521], [0.527, 0.493, 0.880], [0.076, 0.278, 0.704], [0.501, 0.740, 0.179]]}